The following is a DFT calculation (PBE) of crystalline CeGa3NiAu at its relaxed geometry.

```
CeGa3NiAu
1.0
2.954 -6.273 0.000
2.954 6.273 0.000
0.000 0.000 6.089
Ce Ga Ni Au
2 6 2 2
direct
0.223 0.777 0.750
0.777 0.223 0.250
0.217 0.217 0.000
0.217 0.217 0.500
0.370 0.630 0.250
0.630 0.370 0.750
0.783 0.783 0.000
0.783 0.783 0.500
0.424 0.576 0.750
0.576 0.424 0.250
0.160 0.840 0.250
0.840 0.160 0.750
```

Properties
* E_form: -0.3333 eV/atom
* space group: No. 63
* total energy: -4.346 eV per atom